VASP calculation (GGA-PBE) on a relaxed structure of NaPuO4.

Summary:
Energy above the most stable polymorph in this dataset ... 280 meV/atom
Magnetization ... 0.1681 μB per atom
SG ... P4/mmm (123)
Final energy ... -47.22 eV/f.u.

CIF file:
```
data_NaPuO4
_chemical_formula_sum 'Na1 Pu1 O4'
_symmetry_space_group_name_H-M 'P 1'
_symmetry_Int_Tables_number 1
_symmetry_space_group_name_Hall 'P 1'
_cell_length_a 3.6138
_cell_length_b 3.6138
_cell_length_c 5.7100
_cell_angle_alpha 90.00
_cell_angle_beta 90.00
_cell_angle_gamma 90.00
loop_
_atom_site_label
_atom_site_type_symbol
_atom_site_fract_x
_atom_site_fract_y
_atom_site_fract_z
Pu1 Pu 0.5000 0.5000 0.5000
Na1 Na 0.0000 0.0000 0.0000
O1 O 0.0000 0.5000 0.2900
O2 O 0.5000 0.0000 0.7100
O3 O 0.0000 0.5000 0.7100
O4 O 0.5000 0.0000 0.2900
```